P:
{
  "formula": "ThZn6Cu2",
  "functional": "GGA-PBE",
  "state": "optimized geometry",
  "space_group": "P4/mmm, No. 123",
  "magmom_total_mub_per_fu": 0.00,
  "cell": [[4.155, 0.000, 0.000], [0.000, 4.155, 0.000], [0.000, 0.000, 8.612]],
  "species": ["Th", "Zn", "Zn", "Zn", "Zn", "Zn", "Zn", "Cu", "Cu"],
  "frac_coords": [[0.000, 0.000, 0.000], [0.000, 0.500, 0.300], [0.500, 0.000, 0.300], [0.000, 0.500, 0.700], [0.500, 0.000, 0.700], [0.500, 0.500, 0.500], [0.000, 0.000, 0.500], [0.500, 0.500, 0.139], [0.500, 0.500, 0.861]]
}



Q:
{
  "formula": "ThZn6Cu2",
  "functional": "GGA-PBE",
  "state": "optimized geometry",
  "space_group": "Fd-3m, No. 227",
  "magmom_total_mub_per_fu": 0.00,
  "cell": [[8.042, 0.000, 0.000], [4.021, 6.965, 0.000], [4.021, 2.322, 6.566]],
  "species": ["Th", "Th", "Zn", "Zn", "Zn", "Zn", "Zn", "Zn", "Zn", "Zn", "Zn", "Zn", "Zn", "Zn", "Cu", "Cu", "Cu", "Cu"],
  "frac_coords": [[0.500, 0.500, 0.500], [0.750, 0.750, 0.750], [0.237, 0.237, 0.763], [0.763, 0.763, 0.237], [0.237, 0.763, 0.237], [0.237, 0.763, 0.763], [0.487, 0.487, 0.013], [0.487, 0.013, 0.013], [0.763, 0.237, 0.763], [0.013, 0.013, 0.487], [0.487, 0.013, 0.487], [0.013, 0.487, 0.487], [0.763, 0.237, 0.237], [0.013, 0.487, 0.013], [0.125, 0.125, 0.125], [0.125, 0.625, 0.125], [0.125, 0.125, 0.625], [0.625, 0.125, 0.125]]
}



Q: What are the energies relative to the best structure? A: P 0.0; Q 44.6, in kJ/mol of atoms.



P:
{
  "formula": "ThZn2Cu2",
  "functional": "GGA-PBE",
  "state": "optimized geometry",
  "space_group": "C2/m, No. 12",
  "magmom_total_mub_per_fu": 0.00,
  "cell": [[3.933, 0.000, -1.695], [-0.492, 4.393, -1.141], [-0.020, -0.513, 5.363]],
  "species": ["Th", "Zn", "Zn", "Cu", "Cu"],
  "frac_coords": [[0.000, 0.000, 0.000], [0.636, 0.584, 0.272], [0.364, 0.416, 0.728], [0.259, 0.829, 0.518], [0.741, 0.171, 0.482]]
}



Q:
{
  "formula": "ThZn2Cu2",
  "functional": "GGA-PBE",
  "state": "optimized geometry",
  "space_group": "Fmmm, No. 69",
  "magmom_total_mub_per_fu": 0.00,
  "cell": [[3.956, 0.356, 0.000], [-0.344, 3.958, 0.000], [-1.806, -2.157, 5.661]],
  "species": ["Th", "Zn", "Zn", "Cu", "Cu"],
  "frac_coords": [[0.000, 0.000, 0.000], [0.750, 0.250, 0.500], [0.250, 0.750, 0.500], [0.609, 0.609, 0.217], [0.391, 0.391, 0.783]]
}



Q: What are the energies relative to the best structure? A: P 2.1; Q 0.0, in kJ/mol of atoms.



P:
{
  "formula": "ThZrCu",
  "functional": "GGA-PBE",
  "state": "optimized geometry",
  "space_group": "Pmma, No. 51",
  "magmom_total_mub_per_fu": 0.00,
  "cell": [[4.021, 0.000, 0.000], [0.000, 7.728, 0.000], [0.000, 0.000, 13.254]],
  "species": ["Th", "Th", "Th", "Th", "Th", "Th", "Zr", "Zr", "Zr", "Zr", "Zr", "Zr", "Cu", "Cu", "Cu", "Cu", "Cu", "Cu"],
  "frac_coords": [[0.000, 0.239, 0.961], [0.000, 0.761, 0.039], [0.000, 0.239, 0.539], [0.000, 0.761, 0.461], [0.000, 0.157, 0.250], [0.000, 0.843, 0.750], [0.500, 0.446, 0.121], [0.500, 0.554, 0.879], [0.500, 0.446, 0.379], [0.500, 0.554, 0.621], [0.500, 0.799, 0.250], [0.500, 0.201, 0.750], [0.500, 0.052, 0.093], [0.500, 0.948, 0.907], [0.500, 0.052, 0.407], [0.500, 0.948, 0.593], [0.000, 0.561, 0.250], [0.000, 0.439, 0.750]]
}



Q:
{
  "formula": "ThZrCu",
  "functional": "GGA-PBE",
  "state": "optimized geometry",
  "space_group": "P-6m2, No. 187",
  "magmom_total_mub_per_fu": 0.00,
  "cell": [[4.121, 0.000, 0.000], [0.000, 4.509, 0.000], [0.000, -2.254, 3.905]],
  "species": ["Cu", "Zr", "Th"],
  "frac_coords": [[0.167, 0.333, 0.667], [0.167, 0.000, 0.000], [0.667, 0.667, 0.333]]
}



R:
{
  "formula": "ThZrCu",
  "functional": "GGA-PBE",
  "state": "optimized geometry",
  "space_group": "I4mm, No. 107",
  "magmom_total_mub_per_fu": 0.00,
  "cell": [[3.395, 0.000, 0.000], [0.000, 3.395, 0.000], [-1.698, -1.698, 5.958]],
  "species": ["Cu", "Zr", "Th"],
  "frac_coords": [[0.685, 0.685, 0.370], [0.307, 0.307, 0.615], [0.007, 0.007, 0.015]]
}



Q: What are the energies relative to the best structure? A: P 1.3; Q 16.5; R 0.0, in kJ/mol of atoms.



P:
{
  "formula": "Th2ZrCu",
  "functional": "GGA-PBE",
  "state": "optimized geometry",
  "space_group": "R-3m, No. 166",
  "magmom_total_mub_per_fu": 0.00,
  "cell": [[3.328, 0.000, 0.000], [1.664, 2.882, 0.000], [1.664, 0.961, 10.904]],
  "species": ["Cu", "Zr", "Th", "Th"],
  "frac_coords": [[0.500, 0.500, 0.500], [0.000, 0.000, 0.000], [0.095, 0.095, 0.716], [0.905, 0.905, 0.284]]
}



Q:
{
  "formula": "Th2ZrCu",
  "functional": "GGA-PBE",
  "state": "optimized geometry",
  "space_group": "P4/mmm, No. 123",
  "magmom_total_mub_per_fu": 0.00,
  "cell": [[3.454, 0.000, 0.000], [0.000, 3.454, 0.000], [0.000, 0.000, 8.622]],
  "species": ["Cu", "Zr", "Th", "Th"],
  "frac_coords": [[0.500, 0.500, 0.000], [0.500, 0.500, 0.500], [0.000, 0.000, 0.778], [0.000, 0.000, 0.222]]
}



Q: What are the energies relative to the best structure? A: P 33.9; Q 0.0, in kJ/mol of atoms.



P:
{
  "formula": "ThZrCu4",
  "functional": "GGA-PBE",
  "state": "optimized geometry",
  "space_group": "I-4m2, No. 119",
  "magmom_total_mub_per_fu": 0.00,
  "cell": [[-3.296, -1.731, -0.572], [0.431, 0.408, -3.720], [5.075, -6.167, 1.820]],
  "species": ["Th", "Zr", "Cu", "Cu", "Cu", "Cu"],
  "frac_coords": [[0.000, 0.000, 0.000], [0.250, 0.750, 0.500], [0.674, 0.174, 0.349], [0.582, 0.582, 0.165], [0.826, 0.326, 0.651], [0.418, 0.418, 0.835]]
}



Q:
{
  "formula": "ThZrCu4",
  "functional": "GGA-PBE",
  "state": "optimized geometry",
  "space_group": "F-43m, No. 216",
  "magmom_total_mub_per_fu": 0.00,
  "cell": [[5.208, 0.000, 0.000], [2.604, 4.511, 0.000], [2.604, 1.504, 4.253]],
  "species": ["Cu", "Cu", "Cu", "Cu", "Zr", "Th"],
  "frac_coords": [[0.626, 0.626, 0.122], [0.626, 0.122, 0.626], [0.626, 0.626, 0.626], [0.122, 0.626, 0.626], [0.000, 0.000, 0.000], [0.250, 0.250, 0.250]]
}



Q: What are the energies relative to the best structure? A: P 3.6; Q 0.0, in kJ/mol of atoms.



P:
{
  "formula": "TiTl3Cu",
  "functional": "GGA-PBE",
  "state": "optimized geometry",
  "space_group": "Pm-3m, No. 221",
  "magmom_total_mub_per_fu": 0.00,
  "cell": [[5.430, 0.000, 0.000], [0.000, 5.430, 0.000], [0.000, 0.000, 5.430]],
  "species": ["Tl", "Tl", "Tl", "Cu", "Ti"],
  "frac_coords": [[0.000, 0.500, 0.000], [0.000, 0.000, 0.500], [0.500, 0.000, 0.000], [0.500, 0.500, 0.500], [0.000, 0.000, 0.000]]
}



Q:
{
  "formula": "TiTl3Cu",
  "functional": "GGA-PBE",
  "state": "optimized geometry",
  "space_group": "Pm-3m, No. 221",
  "magmom_total_mub_per_fu": 0.00,
  "cell": [[5.090, 0.000, 0.000], [0.000, 5.090, 0.000], [0.000, 0.000, 5.090]],
  "species": ["Tl", "Tl", "Tl", "Cu", "Ti"],
  "frac_coords": [[0.000, 0.500, 0.000], [0.000, 0.000, 0.500], [0.500, 0.000, 0.000], [0.000, 0.000, 0.000], [0.500, 0.500, 0.500]]
}



Q: What are the energies relative to the best structure? A: P 10.6; Q 0.0, in kJ/mol of atoms.



P:
{
  "formula": "UTi2Cu",
  "functional": "GGA-PBE",
  "state": "optimized geometry",
  "space_group": "P4/mmm, No. 123",
  "magmom_total_mub_per_fu": 1.49,
  "cell": [[3.281, 0.000, 0.000], [0.000, 3.281, 0.000], [0.000, 0.000, 6.225]],
  "species": ["U", "Cu", "Ti", "Ti"],
  "frac_coords": [[0.500, 0.500, 0.000], [0.500, 0.500, 0.500], [0.000, 0.000, 0.745], [0.000, 0.000, 0.255]]
}



Q:
{
  "formula": "UTi2Cu",
  "functional": "GGA-PBE",
  "state": "optimized geometry",
  "space_group": "P4/mmm, No. 123",
  "magmom_total_mub_per_fu": 1.17,
  "cell": [[-1.038, -2.247, -1.642], [4.423, -1.118, -1.268], [0.341, -2.888, 3.736]],
  "species": ["U", "Cu", "Ti", "Ti"],
  "frac_coords": [[0.500, 0.500, 0.500], [0.500, 0.000, 0.000], [0.000, 0.000, 0.500], [0.000, 0.500, 0.000]]
}



Q: What are the energies relative to the best structure? A: P 3.8; Q 0.0, in kJ/mol of atoms.



P:
{
  "formula": "Ti3VCu",
  "functional": "GGA-PBE",
  "state": "optimized geometry",
  "space_group": "Pm-3m, No. 221",
  "magmom_total_mub_per_fu": 0.00,
  "cell": [[-0.512, -4.188, -1.603], [4.220, -0.996, 1.254], [-1.517, -1.357, 4.029]],
  "species": ["V", "Cu", "Ti", "Ti", "Ti"],
  "frac_coords": [[0.000, 0.000, 0.000], [0.500, 0.500, 0.500], [0.000, 0.500, 0.000], [0.000, 0.000, 0.500], [0.500, 0.000, 0.000]]
}



Q:
{
  "formula": "Ti3VCu",
  "functional": "GGA-PBE",
  "state": "optimized geometry",
  "space_group": "Pm-3m, No. 221",
  "magmom_total_mub_per_fu": 4.10,
  "cell": [[4.589, 0.000, 0.000], [0.000, 4.589, 0.000], [0.000, 0.000, 4.589]],
  "species": ["V", "Cu", "Ti", "Ti", "Ti"],
  "frac_coords": [[0.500, 0.500, 0.500], [0.000, 0.000, 0.000], [0.000, 0.500, 0.000], [0.000, 0.000, 0.500], [0.500, 0.000, 0.000]]
}



Q: What are the energies relative to the best structure? A: P 0.0; Q 2.8, in kJ/mol of atoms.